Here is a relaxed PW2O8 crystal from Alexandria. Energies are from GGA+U.

Calculated values
total moment: 4.0 μB per cell
relative energy among the computed polymorphs: 0.00 eV/f.u.
VASP energy: -0.551 Ry/atom

Structure (POSCAR):
```
PW2O8
1.0
5.368 0.000 0.000
0.000 6.747 0.000
0.000 0.000 17.789
P W O
4 8 32
Cartesian
1.279 0.345 5.531
1.404 6.402 14.425
3.963 3.029 12.258
4.088 3.719 3.364
1.315 2.772 8.063
1.335 5.045 11.182
1.349 1.702 2.287
1.369 3.976 16.957
3.998 0.602 9.726
4.019 5.076 6.607
4.033 1.671 15.502
4.053 6.145 0.832
0.089 3.008 3.217
0.098 4.061 7.097
0.106 5.206 0.103
0.124 6.321 10.473
0.254 0.611 14.801
1.231 6.001 12.952
1.320 1.609 6.388
1.337 2.749 0.770
1.347 3.998 9.664
1.364 5.138 15.282
1.452 0.746 4.057
2.430 6.136 5.906
2.560 0.427 1.578
2.578 1.541 8.997
2.586 2.686 15.991
2.595 3.740 12.112
2.773 0.366 14.572
2.782 6.060 10.692
2.789 4.915 17.686
2.808 3.800 7.316
2.937 2.762 2.988
3.915 4.119 4.837
4.004 1.764 11.401
4.021 0.625 17.019
4.031 6.123 8.125
4.048 4.983 2.507
4.136 2.628 13.732
5.114 3.985 11.883
5.244 2.947 16.211
5.262 1.833 8.792
5.270 0.688 1.798
5.279 6.381 5.677
```